Li2TeAu | GGA-PBEsol | relaxed

Cell: 4.4396 4.7843 4.4396 Å, 117.64 90.00 117.64°
Last column: nearest neighbours and their distance in Å.
Sites, in units of the cell vectors:
Au (0.0000, 0.0000, 0.0000)  8 Li 2.86, 4 Te 3.14
Te (0.5000, 0.0000, 0.5000)  8 Li 2.86, 4 Au 3.14
Li (0.2500, 0.5000, 0.7500)  4 Te 2.86, 4 Au 2.86, 4 Li 3.14
Li (0.7500, 0.5000, 0.2500)  4 Au 2.86, 4 Te 2.86, 4 Li 3.14

Properties
Relative energy among the computed polymorphs ... 0 meV per atom

K3BaS | GGA-PBEsol | relaxed

Cell: 7.3181 7.3181 7.3181 Å, 90.00 90.00 90.00°
Last column: nearest neighbours and their distance in Å.
Sites, in units of the cell vectors:
K (0.5000, 0.0000, 0.0000)  2 Ba 3.66
K (0.0000, 0.5000, 0.0000)  2 Ba 3.66
K (0.0000, 0.0000, 0.5000)  2 Ba 3.66
S (0.5000, 0.5000, 0.5000)  12 K 5.17
Ba (0.0000, 0.0000, 0.0000)  6 K 3.66

| no. | formation energy (no corrections) (eV per atom) | total DFT energy (no corrections) (eV per atom) |
| --- | --- | --- |
| 1 | -0.592 | -3.437 |
| 2 | 0.779 | -1.208 |